1.
Computed, not measured: a relaxed structure of AlCuIr2 at the GGA-PBE level of DFT.

a b c (Å): 8.566 2.787 4.765
angles (deg): 90.00 102.42 90.00
Space group C2/m (No. 12)
Asymmetric unit:
Al1 0.000 0.000 0.000 x2
Cu1 0.000 0.500 0.500 x2
Ir1 0.242 0.500 0.251 x4

* mass density: 14.20 Mg/m³
* total energy: -6.7364 eV/atom
* E_form: -346 meV per atom

=====

2.
Computed, not measured: a relaxed structure of AlCuIr2 at the GGA-PBE level of DFT.

a b c (Å): 2.924 2.924 6.368
angles (deg): 90.00 90.00 90.00
Space group P4mm (No. 99)
Asymmetric unit:
Al1 0.000 0.000 0.000 x1
Cu1 0.500 0.500 0.221 x1
Ir1 0.000 0.000 0.467 x1
Ir2 0.500 0.500 0.762 x1

* mass density: 14.49 Mg/m³
* total energy: -6.5904 eV/atom
* E_form: -200 meV per atom

=====

3.
Computed, not measured: a relaxed structure of AlCuIr2 at the GGA-PBE level of DFT.

a b c (Å): 2.7580 2.7580 25.5299
angles (deg): 90.00 90.00 120.00
Space group R3m (No. 160, hexagonal axes)
Asymmetric unit:
Al1 0.0000 0.0000 0.0000 x3
Cu1 0.0000 0.0000 0.2541 x3
Ir1 0.0000 0.0000 0.5021 x3
Ir2 0.0000 0.0000 0.7481 x3

* mass density: 14.07 Mg/m³
* total energy: -6.5004 eV/atom
* E_form: -110 meV per atom

=====

4.
Computed, not measured: a relaxed structure of Al2CuIr at the GGA-PBE level of DFT.

a b c (Å): 5.919 6.195 2.970
angles (deg): 90.00 90.00 90.00
Space group Cmmm (No. 65)
Asymmetric unit:
Al1 0.250 0.250 0.000 x4
Cu1 0.000 0.000 0.500 x2
Ir1 0.000 0.500 0.500 x2

* mass density: 9.45 Mg/m³
* total energy: -5.6809 eV/atom
* E_form: -570 meV per atom

=====

5.
Computed, not measured: a relaxed structure of Al4CuIr5 at the GGA-PBE level of DFT.

a b c (Å): 3.008 3.008 15.109
angles (deg): 90.00 90.00 90.00
Space group P4/mmm (No. 123)
Asymmetric unit:
Al1 0.000 0.000 0.102 x2
Al2 0.000 0.000 0.306 x2
Cu1 0.000 0.000 0.500 x1
Ir1 0.500 0.500 0.000 x1
Ir2 0.500 0.500 0.199 x2
Ir3 0.500 0.500 0.398 x2

* mass density: 13.76 Mg/m³
* total energy: -7.0783 eV/atom
* E_form: -741 meV per atom

=====

6.
Computed, not measured: a relaxed structure of Al2Cu2Ir at the GGA-PBE level of DFT.

a b c (Å): 6.800 6.800 2.884
angles (deg): 90.00 90.00 90.00
Space group P4/mbm (No. 127)
Asymmetric unit:
Al1 0.179 0.321 0.000 x4
Cu1 0.123 0.623 0.500 x4
Ir1 0.000 0.000 0.500 x2

* mass density: 9.29 Mg/m³
* total energy: -5.1576 eV/atom
* excess energy over the best structure of this formula in the dataset: 0.08 eV per formula unit
* E_form: -250 meV per atom

=====

Among the records above, which one has the lowest mass density?
Al2Cu2Ir

=====

Which of these has the lowest total energy?
Al4CuIr5

=====

Please write out number 6 again, unchanged.
Computed, not measured: a relaxed structure of Al2Cu2Ir at the GGA-PBE level of DFT.

a b c (Å): 6.800 6.800 2.884
angles (deg): 90.00 90.00 90.00
Space group P4/mbm (No. 127)
Asymmetric unit:
Al1 0.179 0.321 0.000 x4
Cu1 0.123 0.623 0.500 x4
Ir1 0.000 0.000 0.500 x2

* mass density: 9.29 Mg/m³
* total energy: -5.1576 eV/atom
* excess energy over the best structure of this formula in the dataset: 0.08 eV per formula unit
* E_form: -250 meV per atom

=====

Copy entry 5 word for word.
Computed, not measured: a relaxed structure of Al4CuIr5 at the GGA-PBE level of DFT.

a b c (Å): 3.008 3.008 15.109
angles (deg): 90.00 90.00 90.00
Space group P4/mmm (No. 123)
Asymmetric unit:
Al1 0.000 0.000 0.102 x2
Al2 0.000 0.000 0.306 x2
Cu1 0.000 0.000 0.500 x1
Ir1 0.500 0.500 0.000 x1
Ir2 0.500 0.500 0.199 x2
Ir3 0.500 0.500 0.398 x2

* mass density: 13.76 Mg/m³
* total energy: -7.0783 eV/atom
* E_form: -741 meV per atom